No. 1
DFT (PBE) results for AlAsPbBr2 after structural relaxation.

Calculated values
ΔE to the lowest computed polymorph: 438 meV/atom
uncorrected energy: -14.25 eV for the cell shown
M_tot: 1.7 μB per cell

CIF file:
```
data_AlAsPbBr2
_symmetry_space_group_name_H-M 'P 4/m m m'
_symmetry_Int_Tables_number 123
_symmetry_space_group_name_Hall '-P 4 2'
_cell_length_a 5.870
_cell_length_b 5.870
_cell_length_c 5.661
_cell_angle_alpha 90.00
_cell_angle_beta 90.00
_cell_angle_gamma 90.00
loop_
_atom_site_label
_atom_site_type_symbol
_atom_site_fract_x
_atom_site_fract_y
_atom_site_fract_z
_atom_site_occupancy
Al1 Al 0.000 0.000 0.000 1
As1 As 0.500 0.500 0.000 1
Pb1 Pb 0.500 0.500 0.500 1
Br1 Br 0.000 0.500 0.500 1
```

No. 2
DFT (PBE) results for NdThTi after structural relaxation.

Calculated values
uncorrected energy: -39.46 eV for the cell shown
M_tot: 0.0 μB per cell
formation energy: 0.12 eV per atom

CIF file:
```
data_NdThTi
_symmetry_space_group_name_H-M 'P 4/n m m'
_symmetry_Int_Tables_number 129
_cell_length_a 3.608
_cell_length_b 3.608
_cell_length_c 12.843
_cell_angle_alpha 90.00
_cell_angle_beta 90.00
_cell_angle_gamma 90.00
loop_
_symmetry_equiv_pos_as_xyz
'x,y,z'
'-x,-y,-z'
'-y+1/2,x,z'
'y+1/2,-x,-z'
'-x+1/2,-y+1/2,z'
'x+1/2,y+1/2,-z'
'y,-x+1/2,z'
'-y,x+1/2,-z'
'x+1/2,-y,-z'
'-x+1/2,y,z'
'-y,-x,-z'
'y,x,z'
'-x,y+1/2,-z'
'x,-y+1/2,z'
'y+1/2,x+1/2,-z'
'-y+1/2,-x+1/2,z'
loop_
_atom_site_label
_atom_site_type_symbol
_atom_site_fract_x
_atom_site_fract_y
_atom_site_fract_z
_atom_site_occupancy
Nd1 Nd 0.250 0.250 0.110 1
Th1 Th 0.250 0.250 0.700 1
Ti1 Ti 0.250 0.250 0.450 1
```